Material: Tl2In2Pb5
Method: DFT, PBE
State: relaxed

Values from the calculation:
Formation enthalpy at 0 K (eV per atom): 0.008
Volume (Å³ per cell): 274.4
Calculated density (g/cm3): 10.13

a b c (Å): 4.8930 7.8763 7.8963
angles (deg): 72.36 89.84 72.01
Closest atoms and distances in Å follow each position.
Space group P-1 (No. 2)
Unique sites:
Tl1 0.1679 0.1631 0.0065 x2  2 Tl 3.48-3.49, 7 Pb 3.48-3.59, 3 In 3.50-3.61
In1 0.2761 0.9470 0.6579 x2  2 In 3.40-3.41, 7 Pb 3.47-3.57, 3 Tl 3.50-3.61
Pb1 0.0571 0.3867 0.3349 x2  3 In 3.47-3.49, 7 Pb 3.48-3.53, 2 Tl 3.51-3.59
Pb2 0.3880 0.7238 0.3333 x2  3 In 3.48-3.49, 3 Tl 3.48-3.53, 6 Pb 3.48-3.54
Pb3 0.5000 0.5000 0.0000 x1  6 Pb 3.50-3.54, 4 Tl 3.50-3.51, 2 In 3.57

Material: KAgAu
Method: DFT, PBE
State: relaxed

Values from the calculation:
Formation enthalpy at 0 K (eV per atom): -0.094
Polymorph energy (0 for the lowest one) (eV per atom): 0.0742
Volume (Å³ per cell): 88.8
Calculated density (g/cm3): 6.43

a b c (Å): 4.7773 4.7773 4.4921
angles (deg): 90.00 90.00 120.00
Closest atoms and distances in Å follow each position.
Space group P-6m2 (No. 187)
Unique sites:
K1 0.0000 0.0000 0.0000 x1  6 Ag 3.56, 6 Au 3.56
Ag1 0.6667 0.3333 0.5000 x1  3 Au 2.76
Au1 0.3333 0.6667 0.5000 x1  3 Ag 2.76

Material: Y3MgZr
Method: DFT, PBE
State: relaxed

Values from the calculation:
Formation enthalpy at 0 K (eV per atom): 0.854
Polymorph energy (0 for the lowest one) (eV per atom): 0.2411
Volume (Å³ per cell): 166.3
Calculated density (g/cm3): 3.82

a b c (Å): 5.4992 5.4992 5.4992
angles (deg): 90.00 90.00 90.00
Closest atoms and distances in Å follow each position.
Space group Pm-3m (No. 221)
Unique sites:
Y1 0.0000 0.0000 0.5000 x3  2 Mg 2.75
Mg1 0.0000 0.0000 0.0000 x1  6 Y 2.75
Zr1 0.5000 0.5000 0.5000 x1  12 Y 3.89

Material: Co2TeW
Method: DFT, PBE
State: relaxed

Values from the calculation:
E (eV/atom): -7.017
Volume (Å³ per cell): 232.9
Calculated density (g/cm3): 12.25

a b c (Å): 6.1523 6.1523 6.1523
angles (deg): 90.00 90.00 90.00
Closest atoms and distances in Å follow each position.
Space group F-43m (No. 216)
Unique sites:
Co1 0.0000 0.0000 0.0000 x4  4 Te 2.66, 4 Co 2.66
Co2 0.2500 0.2500 0.2500 x4  4 W 2.66, 4 Co 2.66
Te1 0.2500 0.2500 0.7500 x4  4 W 2.66, 4 Co 2.66
W1 0.0000 0.0000 0.5000 x4  4 Co 2.66, 4 Te 2.66